HgAu2C: optimized geometry, GGA-PBE.

Properties
crystal system = cubic
E_form = 6.1 eV per formula unit

Cell lengths 4.6088, 4.6088, 4.6088 Å; angles 60.00, 60.00, 60.00 degrees
Fractional coordinates of all 4 atoms:
Au1 0.7500 0.7500 0.7500
C1 0.0000 0.0000 0.0000
Hg1 0.5000 0.5000 0.5000
Au2 0.2500 0.2500 0.2500